3
Lattice="0.0000 3.3418 3.3418 3.3418 0.0000 3.3418 3.3418 3.3418 0.0000" Properties=species:S:1:pos:R:3 comment="PBE PrTaBe, relaxed" dft_energy_ev_per_fu=-15.08 magnetic_moment_mub_per_cell=1.92 pbc="T T T"
Pr 0.0000 0.0000 0.0000
Ta 1.6709 1.6709 1.6709
Be 5.0127 5.0127 5.0127